--- w ---
{
  "formula": "Tb3Tm6Th",
  "functional": "PBE",
  "state": "optimized geometry",
  "lattice": [[4.664, -7.565, 0.000], [4.664, 7.565, 0.000], [0.000, 0.000, 8.912]],
  "species": ["Tb", "Tb", "Tb", "Tb", "Tb", "Tb", "Tm", "Tm", "Tm", "Tm", "Tm", "Tm", "Tm", "Tm", "Tm", "Tm", "Tm", "Tm", "Th", "Th"],
  "frac_coords": [[0.050, 0.950, 0.500], [0.180, 0.472, 0.989], [0.472, 0.180, 0.489], [0.528, 0.820, 0.989], [0.820, 0.528, 0.489], [0.950, 0.050, 0.000], [0.031, 0.328, 0.646], [0.199, 0.318, 0.317], [0.215, 0.785, 0.760], [0.318, 0.199, 0.817], [0.328, 0.031, 0.146], [0.445, 0.555, 0.627], [0.555, 0.445, 0.127], [0.672, 0.969, 0.646], [0.682, 0.801, 0.317], [0.785, 0.215, 0.260], [0.801, 0.682, 0.817], [0.969, 0.672, 0.146], [0.276, 0.724, 0.396], [0.724, 0.276, 0.896]]
}

--- x ---
{
  "formula": "Tb3Tm6Th",
  "functional": "PBE",
  "state": "optimized geometry",
  "lattice": [[4.869, 2.811, 3.884], [-4.869, 2.811, 3.884], [0.000, -5.622, 3.884]],
  "species": ["Tb", "Tb", "Tb", "Tm", "Tm", "Tm", "Tm", "Tm", "Tm", "Th"],
  "frac_coords": [[0.000, 0.000, 0.000], [0.242, 0.242, 0.242], [0.758, 0.758, 0.758], [0.000, 0.665, 0.335], [0.168, 0.500, 0.832], [0.335, 0.000, 0.665], [0.500, 0.832, 0.168], [0.665, 0.335, 0.000], [0.832, 0.168, 0.500], [0.500, 0.500, 0.500]]
}

Stability ranking, top and bottom: w is the most stable and x is the least stable.

--- w ---
{
  "formula": "Tb4Tm2Th",
  "functional": "PBE",
  "state": "optimized geometry",
  "lattice": [[1.776, 1.026, 20.167], [-1.776, 1.026, 20.167], [0.000, -2.051, 20.167]],
  "species": ["Tb", "Tb", "Tb", "Tb", "Tm", "Tm", "Th"],
  "frac_coords": [[0.143, 0.143, 0.143], [0.286, 0.286, 0.286], [0.714, 0.714, 0.714], [0.857, 0.857, 0.857], [0.429, 0.429, 0.429], [0.571, 0.571, 0.571], [0.000, 0.000, 0.000]]
}

--- x ---
{
  "formula": "Tb4Tm2Th",
  "functional": "PBE",
  "state": "optimized geometry",
  "lattice": [[3.073, -1.792, 0.000], [3.073, 1.792, 0.000], [-1.182, 0.000, 20.093]],
  "species": ["Tb", "Tb", "Tb", "Tb", "Tm", "Tm", "Th"],
  "frac_coords": [[0.000, 0.000, 0.000], [0.517, 0.517, 0.148], [0.570, 0.570, 0.428], [0.948, 0.948, 0.711], [0.210, 0.210, 0.287], [0.258, 0.258, 0.569], [0.313, 0.313, 0.856]]
}

Stability ranking, top and bottom: w is the most stable and x is the least stable.

--- w ---
{
  "formula": "Tb6TmTh2",
  "functional": "PBE",
  "state": "optimized geometry",
  "lattice": [[0.000, 7.533, 7.544], [2.526, 0.000, 7.544], [2.526, 7.533, 0.000]],
  "species": ["Tb", "Tb", "Tb", "Tb", "Tb", "Tb", "Tm", "Th", "Th"],
  "frac_coords": [[0.165, 0.165, 0.835], [0.171, 0.504, 0.496], [0.496, 0.829, 0.171], [0.504, 0.171, 0.829], [0.829, 0.496, 0.504], [0.835, 0.835, 0.165], [0.500, 0.500, 0.500], [0.168, 0.832, 0.168], [0.832, 0.168, 0.832]]
}

--- x ---
{
  "formula": "Tb6TmTh2",
  "functional": "PBE",
  "state": "optimized geometry",
  "lattice": [[3.565, 0.000, 0.000], [-1.782, 3.087, 0.000], [0.000, 0.000, 26.310]],
  "species": ["Tb", "Tb", "Tb", "Tb", "Tb", "Tb", "Tm", "Th", "Th"],
  "frac_coords": [[0.000, 0.000, 0.064], [0.000, 0.000, 0.284], [0.000, 0.000, 0.716], [0.000, 0.000, 0.936], [0.333, 0.667, 0.393], [0.333, 0.667, 0.607], [0.000, 0.000, 0.500], [0.333, 0.667, 0.172], [0.333, 0.667, 0.828]]
}

Stability ranking, top and bottom: w is the most stable and x is the least stable.

--- w ---
{
  "formula": "Tb2Tm5Th2",
  "functional": "PBE",
  "state": "optimized geometry",
  "lattice": [[-7.387, 5.892, 3.285], [7.387, -5.892, 3.285], [7.387, 5.892, -3.285]],
  "species": ["Tb", "Tb", "Tb", "Tb", "Tm", "Tm", "Tm", "Tm", "Tm", "Tm", "Tm", "Tm", "Tm", "Tm", "Th", "Th", "Th", "Th"],
  "frac_coords": [[0.000, 0.126, 0.127], [0.000, 0.374, 0.374], [0.000, 0.626, 0.626], [0.000, 0.874, 0.873], [0.086, 0.100, 0.487], [0.126, 0.497, 0.914], [0.126, 0.712, 0.129], [0.415, 0.212, 0.310], [0.415, 0.605, 0.703], [0.583, 0.212, 0.086], [0.583, 0.997, 0.871], [0.613, 0.600, 0.513], [0.902, 0.105, 0.690], [0.902, 0.712, 0.297], [0.462, 0.462, 0.000], [0.462, 0.962, 0.500], [0.535, 0.788, 0.247], [0.541, 0.288, 0.753]]
}

--- x ---
{
  "formula": "Tb2Tm5Th2",
  "functional": "PBE",
  "state": "optimized geometry",
  "lattice": [[3.571, 0.000, 0.000], [-1.784, 7.118, 0.000], [0.000, -0.995, 11.524]],
  "species": ["Tb", "Tb", "Tm", "Tm", "Tm", "Tm", "Tm", "Th", "Th"],
  "frac_coords": [[0.075, 0.151, 0.335], [0.925, 0.849, 0.665], [0.000, 0.000, 0.000], [0.209, 0.418, 0.609], [0.389, 0.777, 0.184], [0.611, 0.223, 0.816], [0.791, 0.582, 0.391], [0.308, 0.616, 0.890], [0.692, 0.384, 0.110]]
}

Stability ranking, top and bottom: x is the most stable and w is the least stable.